Here is a relaxed structure of Y3Mg2VS8 from Alexandria via LeMat-Bulk. Energies are from GGA-PBEsol.

Cell: 7.5884 7.5884 7.5884 Å, 61.02 61.02 61.02°
Positions (direct):
1 Y 0.0000 0.5000 0.5000
2 Y 0.5000 0.0000 0.5000
3 Y 0.5000 0.5000 0.0000
4 Mg 0.1239 0.1239 0.1239
5 Mg 0.8761 0.8761 0.8761
6 V 0.5000 0.5000 0.5000
7 S 0.2543 0.2543 0.2543
8 S 0.2702 0.2702 0.7289
9 S 0.2702 0.7289 0.2702
10 S 0.2711 0.7298 0.7298
11 S 0.7289 0.2702 0.2702
12 S 0.7298 0.2711 0.7298
13 S 0.7298 0.7298 0.2711
14 S 0.7457 0.7457 0.7457

## Properties
- Total DFT energy (no corrections): -91.6 eV per formula unit